Entry from Alexandria via LeMat-Bulk: NaIn4WO8 after structural relaxation (PBE with a Hubbard U).

Computed properties:
density	6.01	g cm⁻³
uncorrected energy	-5.654	eV/atom
space-group type	R3m
V	15.7	Å³ per atom
crystal system	trigonal
total magnetization	0.0	μB/f.u.

Lattice parameters (Å, degrees): 6.422 6.422 7.177 63.42 63.42 60.00
Sites, in units of the cell vectors:
In  0.008  0.495  0.489
O  0.254  0.728  0.764
Na  0.991  0.991  0.026
O  0.773  0.773  0.680
O  0.728  0.254  0.764
In  0.008  0.008  0.489
O  0.286  0.286  0.141
O  0.224  0.737  0.301
O  0.254  0.254  0.764
W  0.383  0.383  0.850
O  0.737  0.737  0.301
In  0.620  0.620  0.141
O  0.737  0.224  0.301
In  0.495  0.008  0.489